[1]
An optimized crystal structure of K3Tl5Hg12. Source: Alexandria, functional GGA-PBE.

Unit cell a=16.1044 b=16.1044 c=16.1044 alpha=109.47 beta=109.47 gamma=109.47
Element x y z (fractional)
K: 0.1250 0.2500 0.3750
K: 0.1250 0.3750 0.7500
K: 0.2500 0.3750 0.1250
K: 0.2500 0.8750 0.6250
K: 0.3750 0.1250 0.2500
K: 0.3750 0.7500 0.1250
K: 0.6250 0.2500 0.8750
K: 0.6250 0.8750 0.7500
K: 0.7500 0.1250 0.3750
K: 0.7500 0.6250 0.8750
K: 0.8750 0.6250 0.2500
K: 0.8750 0.7500 0.6250
Tl: 0.0000 0.0000 0.0000
Tl: 0.0000 0.0000 0.5000
Tl: 0.0000 0.5000 0.0000
Tl: 0.0000 0.5000 0.5000
Tl: 0.1250 0.7500 0.8750
Tl: 0.1250 0.8750 0.2500
Tl: 0.2500 0.1250 0.8750
Tl: 0.2500 0.6250 0.3750
Tl: 0.3750 0.2500 0.6250
Tl: 0.3750 0.6250 0.7500
Tl: 0.5000 0.0000 0.0000
Tl: 0.5000 0.0000 0.5000
Tl: 0.5000 0.5000 0.0000
Tl: 0.5000 0.5000 0.5000
Tl: 0.6250 0.3750 0.2500
Tl: 0.6250 0.7500 0.3750
Tl: 0.7500 0.3750 0.6250
Tl: 0.7500 0.8750 0.1250
Tl: 0.8750 0.1250 0.7500
Tl: 0.8750 0.2500 0.1250
Hg: 0.0623 0.2255 0.1438
Hg: 0.0623 0.3368 0.9185
Hg: 0.0815 0.6438 0.4183
Hg: 0.0815 0.9377 0.6632
Hg: 0.0817 0.7255 0.6632
Hg: 0.0817 0.8562 0.4185
Hg: 0.1438 0.0623 0.2255
Hg: 0.1438 0.5815 0.9183
Hg: 0.1632 0.2255 0.5817
Hg: 0.1632 0.4377 0.5815
Hg: 0.2255 0.1438 0.0623
Hg: 0.2255 0.5817 0.1632
Hg: 0.2745 0.3368 0.9183
Hg: 0.2745 0.4377 0.3562
Hg: 0.3368 0.9183 0.2745
Hg: 0.3368 0.9185 0.0623
Hg: 0.3562 0.2745 0.4377
Hg: 0.3562 0.5817 0.9185
Hg: 0.4183 0.0815 0.6438
Hg: 0.4183 0.8368 0.7745
Hg: 0.4185 0.0817 0.8562
Hg: 0.4185 0.8368 0.5623
Hg: 0.4377 0.3562 0.2745
Hg: 0.4377 0.5815 0.1632
Hg: 0.5623 0.4185 0.8368
Hg: 0.5623 0.6438 0.7255
Hg: 0.5815 0.1632 0.4377
Hg: 0.5815 0.9183 0.1438
Hg: 0.5817 0.1632 0.2255
Hg: 0.5817 0.9185 0.3562
Hg: 0.6438 0.4183 0.0815
Hg: 0.6438 0.7255 0.5623
Hg: 0.6632 0.0815 0.9377
Hg: 0.6632 0.0817 0.7255
Hg: 0.7255 0.5623 0.6438
Hg: 0.7255 0.6632 0.0817
Hg: 0.7745 0.4183 0.8368
Hg: 0.7745 0.8562 0.9377
Hg: 0.8368 0.5623 0.4185
Hg: 0.8368 0.7745 0.4183
Hg: 0.8562 0.4185 0.0817
Hg: 0.8562 0.9377 0.7745
Hg: 0.9183 0.1438 0.5815
Hg: 0.9183 0.2745 0.3368
Hg: 0.9185 0.0623 0.3368
Hg: 0.9185 0.3562 0.5817
Hg: 0.9377 0.6632 0.0815
Hg: 0.9377 0.7745 0.8562

Summary:
**SG**: No. 230

***

[2]
An optimized crystal structure of KTl8Hg6. Source: Alexandria, functional GGA-PBE.

Unit cell a=8.5064 b=8.5064 c=8.5064 alpha=65.33 beta=65.33 gamma=65.33
Element x y z (fractional)
K: 0.0000 0.0000 0.0000
Tl: 0.1116 0.4382 0.7899
Tl: 0.2101 0.8884 0.5618
Tl: 0.3229 0.3229 0.3229
Tl: 0.4382 0.7899 0.1116
Tl: 0.5618 0.2101 0.8884
Tl: 0.6771 0.6771 0.6771
Tl: 0.7899 0.1116 0.4382
Tl: 0.8884 0.5618 0.2101
Hg: 0.0741 0.7073 0.4068
Hg: 0.2927 0.5931 0.9259
Hg: 0.4069 0.0741 0.7073
Hg: 0.5932 0.9259 0.2927
Hg: 0.7073 0.4068 0.0741
Hg: 0.9259 0.2927 0.5931

Summary:
**Relative energy among the computed polymorphs**: 0.000 eV per atom
**SG**: No. 148

***

[3]
An optimized crystal structure of K12TlHg5. Source: Alexandria, functional GGA-PBE.

Unit cell a=10.3440 b=10.3440 c=10.3440 alpha=112.44 beta=112.42 gamma=103.70
Element x y z (fractional)
K: 0.0481 0.2423 0.8058
K: 0.1855 0.2780 0.4635
K: 0.1855 0.7220 0.9074
K: 0.3301 0.0355 0.7054
K: 0.3301 0.6248 0.2946
K: 0.4366 0.2423 0.1942
K: 0.5634 0.7577 0.8058
K: 0.6699 0.3752 0.7054
K: 0.6699 0.9645 0.2946
K: 0.8145 0.2780 0.0926
K: 0.8145 0.7220 0.5365
K: 0.9519 0.7577 0.1942
Tl: 0.5000 0.5000 0.0000
Hg: 0.0000 0.0000 0.0000
Hg: 0.1194 0.6194 0.5000
Hg: 0.3591 0.0000 0.3591
Hg: 0.6409 0.0000 0.6409
Hg: 0.8806 0.3806 0.5000

Summary:
**SG**: No. 71

***

[4]
An optimized crystal structure of KTlHg4. Source: Alexandria, functional GGA-PBE.

Unit cell a=5.3272 b=5.3272 c=7.3625 alpha=90.00 beta=90.00 gamma=120.00
Element x y z (fractional)
K: 0.0000 0.0000 0.0000
Tl: 0.0000 0.0000 0.5000
Hg: 0.3333 0.6667 0.2702
Hg: 0.3333 0.6667 0.7298
Hg: 0.6667 0.3333 0.2702
Hg: 0.6667 0.3333 0.7298

Summary:
**Relative energy among the computed polymorphs**: 0.000 eV per atom
**SG**: No. 191

***

[5]
An optimized crystal structure of KTlHg2. Source: Alexandria, functional GGA-PBE.

Unit cell a=5.3624 b=5.3624 c=7.4284 alpha=96.71 beta=96.71 gamma=37.86
Element x y z (fractional)
K: 0.0000 0.0000 0.0000
Tl: 0.5000 0.5000 0.5000
Hg: 0.2500 0.2500 0.7194
Hg: 0.7500 0.7500 0.2806

Summary:
**Relative energy among the computed polymorphs**: 0.034 eV per atom
**SG**: No. 12

***

[6]
An optimized crystal structure of K3Tl2Hg4. Source: Alexandria, functional GGA-PBE.

Unit cell a=6.8398 b=6.8398 c=10.1411 alpha=113.84 beta=113.84 gamma=46.52
Element x y z (fractional)
K: 0.0000 0.0000 0.0000
K: 0.3613 0.3613 0.3127
K: 0.6387 0.6387 0.6873
Tl: 0.3426 0.3426 0.6746
Tl: 0.6574 0.6574 0.3254
Hg: 0.0849 0.0849 0.4160
Hg: 0.2697 0.2697 0.9351
Hg: 0.7303 0.7303 0.0649
Hg: 0.9151 0.9151 0.5840

Summary:
**SG**: No. 12

***

[7]
An optimized crystal structure of KTlHg2. Source: Alexandria, functional GGA-PBE.

Unit cell a=7.7206 b=7.7206 c=7.7206 alpha=36.60 beta=36.60 gamma=36.60
Element x y z (fractional)
K: 0.0000 0.0000 0.0000
Tl: 0.8255 0.8255 0.8255
Hg: 0.2310 0.2310 0.2310
Hg: 0.4302 0.4302 0.4302

Summary:
**Relative energy among the computed polymorphs**: 0.044 eV per atom
**SG**: No. 160

***

[8]
An optimized crystal structure of K2Tl9Hg3. Source: Alexandria, functional GGA-PBE.

Unit cell a=9.6095 b=9.6095 c=12.2444 alpha=111.54 beta=111.54 gamma=62.21
Element x y z (fractional)
K: 0.0768 0.2529 0.2364
K: 0.2529 0.0768 0.7364
K: 0.7471 0.9232 0.2636
K: 0.9232 0.7471 0.7636
Tl: 0.0405 0.8457 0.1001
Tl: 0.1543 0.9595 0.3999
Tl: 0.1855 0.3729 0.5778
Tl: 0.2413 0.5585 0.2660
Tl: 0.3210 0.4823 0.9637
Tl: 0.3729 0.1855 0.0778
Tl: 0.3727 0.6273 0.7500
Tl: 0.4415 0.7587 0.2340
Tl: 0.4823 0.3210 0.4637
Tl: 0.5177 0.6790 0.5363
Tl: 0.5585 0.2413 0.7660
Tl: 0.6273 0.3727 0.2500
Tl: 0.6271 0.8145 0.9222
Tl: 0.6790 0.5177 0.0363
Tl: 0.7587 0.4415 0.7340
Tl: 0.8145 0.6271 0.4222
Tl: 0.8457 0.0405 0.6001
Tl: 0.9595 0.1543 0.8999
Hg: 0.0000 0.5000 0.0000
Hg: 0.1224 0.7138 0.5086
Hg: 0.2862 0.8776 0.9914
Hg: 0.5000 0.0000 0.5000
Hg: 0.7138 0.1224 0.0086
Hg: 0.8776 0.2862 0.4914

Summary:
**SG**: No. 15

***

[9]
An optimized crystal structure of KTl2Hg2. Source: Alexandria, functional GGA-PBE.

Unit cell a=7.6308 b=7.6308 c=7.6308 alpha=141.58 beta=141.58 gamma=55.46
Element x y z (fractional)
K: 0.0000 0.0000 0.0000
Tl: 0.2500 0.7500 0.5000
Tl: 0.7500 0.2500 0.5000
Hg: 0.3918 0.3918 0.0000
Hg: 0.6082 0.6082 0.0000

Summary:
**Relative energy among the computed polymorphs**: 0.001 eV per atom
**SG**: No. 139

***

[10]
An optimized crystal structure of K12TlHg6. Source: Alexandria, functional GGA-PBE.

Unit cell a=10.4782 b=10.4782 c=10.4782 alpha=109.47 beta=109.47 gamma=109.47
Element x y z (fractional)
K: 0.1062 0.8182 0.2880
K: 0.1818 0.2880 0.4698
K: 0.1818 0.7120 0.8938
K: 0.2880 0.1062 0.8182
K: 0.2880 0.4698 0.1818
K: 0.4698 0.1818 0.2880
K: 0.5302 0.8182 0.7120
K: 0.7120 0.5302 0.8182
K: 0.7120 0.8938 0.1818
K: 0.8182 0.2880 0.1062
K: 0.8182 0.7120 0.5302
K: 0.8938 0.1818 0.7120
Tl: 0.0000 0.0000 0.0000
Hg: 0.1239 0.6239 0.5000
Hg: 0.3761 0.5000 0.8761
Hg: 0.5000 0.1239 0.6239
Hg: 0.5000 0.8761 0.3761
Hg: 0.6239 0.5000 0.1239
Hg: 0.8761 0.3761 0.5000

Summary:
**SG**: No. 204

***

[11]
An optimized crystal structure of KTlHg2. Source: Alexandria, functional GGA-PBE.

Unit cell a=6.7329 b=6.7329 c=8.8638 alpha=90.00 beta=90.00 gamma=133.56
Element x y z (fractional)
K: 0.0608 0.9392 0.7500
K: 0.9392 0.0608 0.2500
Tl: 0.3637 0.6363 0.7500
Tl: 0.6363 0.3637 0.2500
Hg: 0.2268 0.7732 0.0756
Hg: 0.2268 0.7732 0.4244
Hg: 0.7732 0.2268 0.5756
Hg: 0.7732 0.2268 0.9244

Summary:
**Relative energy among the computed polymorphs**: 0.053 eV per atom
**SG**: No. 63

***

[12]
An optimized crystal structure of KTlHg. Source: Alexandria, functional GGA-PBE.

Unit cell a=8.8434 b=8.8434 c=5.6242 alpha=90.00 beta=90.00 gamma=152.71
Element x y z (fractional)
K: 0.0852 0.9148 0.7500
K: 0.9148 0.0852 0.2500
Tl: 0.2307 0.7693 0.2500
Tl: 0.7693 0.2307 0.7500
Hg: 0.4128 0.5872 0.7500
Hg: 0.5872 0.4128 0.2500

Summary:
**Relative energy among the computed polymorphs**: 0.045 eV per atom
**SG**: No. 63

***

| no. | volume (Å³/cell) | DFT formation energy (meV per atom) |
| --- | --- | --- |
| 1 | 3215.2 | 66 |
| 2 | 485.8 | -17 |
| 3 | 845.6 | -147 |
| 4 | 180.9 | -151 |
| 5 | 130.1 | -130 |
| 6 | 309.2 | -212 |
| 7 | 146.5 | -120 |
| 8 | 903.6 | -61 |
| 9 | 170.3 | -127 |
| 10 | 885.6 | -150 |
| 11 | 291.2 | -112 |
| 12 | 201.6 | -154 |